The following is a PBE calculation of a relaxed structure of Tb7TmTl5, from Alexandria.

```
data_Tb7TmTl5
_symmetry_space_group_name_H-M 'P 1'
_symmetry_Int_Tables_number 1
_cell_length_a 8.3435
_cell_length_b 8.3435
_cell_length_c 8.3435
_cell_angle_alpha 133.63
_cell_angle_beta 99.10
_cell_angle_gamma 98.73
loop_
_symmetry_equiv_pos_as_xyz
'x,y,z'
loop_
_atom_site_label
_atom_site_fract_x
_atom_site_fract_y
_atom_site_fract_z
Tb1 0.0000 0.0000 0.0000
Tb2 0.2936 0.6312 0.6623
Tb3 0.3260 0.3260 0.0000
Tb4 0.4282 0.1153 0.3129
Tb5 0.8023 0.1153 0.6871
Tb6 0.8578 0.3578 0.5000
Tb7 0.9689 0.6312 0.3377
Tm1 0.6667 0.6667 0.0000
Tl1 0.1096 0.1190 0.4849
Tl2 0.1096 0.6247 0.9906
Tl3 0.3864 0.8864 0.5000
Tl4 0.6341 0.1190 0.0094
Tl5 0.6341 0.6247 0.5151
```

Calculated values
D(E_F) in states/eV/cell: 15.5
DFT formation energy in eV/f.u.: -1.8
Magnetic moment in μB/f.u.: 0.00

The following is a PBE calculation of a relaxed structure of Tb7TmTl4, from Alexandria.

```
data_Tb7TmTl4
_symmetry_space_group_name_H-M 'P 1'
_symmetry_Int_Tables_number 1
_cell_length_a 8.0196
_cell_length_b 8.0196
_cell_length_c 9.8052
_cell_angle_alpha 119.24
_cell_angle_beta 119.24
_cell_angle_gamma 42.42
loop_
_symmetry_equiv_pos_as_xyz
'x,y,z'
loop_
_atom_site_label
_atom_site_fract_x
_atom_site_fract_y
_atom_site_fract_z
Tb1 0.0000 0.0000 0.0000
Tb2 0.2425 0.2425 0.6947
Tb3 0.2960 0.2960 0.1201
Tb4 0.4326 0.4326 0.5949
Tb5 0.5674 0.5674 0.4051
Tb6 0.7040 0.7040 0.8799
Tb7 0.7575 0.7575 0.3053
Tm1 0.5000 0.5000 0.0000
Tl1 0.0479 0.0479 0.7120
Tl2 0.1855 0.1855 0.3374
Tl3 0.8145 0.8145 0.6626
Tl4 0.9521 0.9521 0.2880
```

Calculated values
D(E_F) in states/eV/cell: 13.7
DFT formation energy in eV/f.u.: -0.3
Magnetic moment in μB/f.u.: 0.00

The following is a PBE calculation of a relaxed structure of Tb8Tm5Tl, from Alexandria.

```
data_Tb8Tm5Tl
_symmetry_space_group_name_H-M 'P 1'
_symmetry_Int_Tables_number 1
_cell_length_a 8.4754
_cell_length_b 8.4754
_cell_length_c 8.4754
_cell_angle_alpha 103.86
_cell_angle_beta 103.86
_cell_angle_gamma 121.40
loop_
_symmetry_equiv_pos_as_xyz
'x,y,z'
loop_
_atom_site_label
_atom_site_fract_x
_atom_site_fract_y
_atom_site_fract_z
Tb1 0.0106 0.1715 0.8391
Tb2 0.2911 0.2911 0.5821
Tb3 0.2911 0.7089 0.0000
Tb4 0.3324 0.1715 0.1609
Tb5 0.7089 0.2911 0.0000
Tb6 0.7089 0.7089 0.4179
Tb7 0.8285 0.6676 0.8391
Tb8 0.8285 0.9894 0.1609
Tm1 0.1487 0.8403 0.3084
Tm2 0.1597 0.4682 0.3084
Tm3 0.1597 0.8513 0.6916
Tm4 0.5318 0.8403 0.6916
Tm5 0.7500 0.2500 0.5000
Tl1 0.5000 0.5000 0.0000
```

Calculated values
D(E_F) in states/eV/cell: 17.2
DFT formation energy in eV/f.u.: 2.2
Magnetic moment in μB/f.u.: 0.00

The following is a PBE calculation of a relaxed structure of TbTm2Tl, from Alexandria.

```
data_TbTm2Tl
_symmetry_space_group_name_H-M 'P 1'
_symmetry_Int_Tables_number 1
_cell_length_a 4.6099
_cell_length_b 21.6565
_cell_length_c 4.7481
_cell_angle_alpha 90.00
_cell_angle_beta 90.00
_cell_angle_gamma 90.00
loop_
_symmetry_equiv_pos_as_xyz
'x,y,z'
loop_
_atom_site_label
_atom_site_fract_x
_atom_site_fract_y
_atom_site_fract_z
Tb1 0.0000 0.1927 0.2500
Tb2 0.0000 0.8073 0.7500
Tb3 0.5000 0.3073 0.7500
Tb4 0.5000 0.6927 0.2500
Tm1 0.0000 0.0569 0.7500
Tm2 0.0000 0.4346 0.7500
Tm3 0.0000 0.5654 0.2500
Tm4 0.0000 0.9431 0.2500
Tm5 0.5000 0.0654 0.2500
Tm6 0.5000 0.4431 0.2500
Tm7 0.5000 0.5569 0.7500
Tm8 0.5000 0.9346 0.7500
Tl1 0.0000 0.3361 0.2500
Tl2 0.0000 0.6639 0.7500
Tl3 0.5000 0.1639 0.7500
Tl4 0.5000 0.8361 0.2500
```

Calculated values
D(E_F) in states/eV/cell: 16.2
DFT formation energy in eV/f.u.: -0.6
E above lowest polymorph in meV/atom: 27
Magnetic moment in μB/f.u.: 0.00

Q: Which value of magnetic moment does entry 2 give?
A: 0.00 μB/f.u.

Q: Which of these has the highest DFT formation energy?
A: Tb8Tm5Tl

Copy entry 1 word for word.
The following is a PBE calculation of a relaxed structure of Tb7TmTl5, from Alexandria.

```
data_Tb7TmTl5
_symmetry_space_group_name_H-M 'P 1'
_symmetry_Int_Tables_number 1
_cell_length_a 8.3435
_cell_length_b 8.3435
_cell_length_c 8.3435
_cell_angle_alpha 133.63
_cell_angle_beta 99.10
_cell_angle_gamma 98.73
loop_
_symmetry_equiv_pos_as_xyz
'x,y,z'
loop_
_atom_site_label
_atom_site_fract_x
_atom_site_fract_y
_atom_site_fract_z
Tb1 0.0000 0.0000 0.0000
Tb2 0.2936 0.6312 0.6623
Tb3 0.3260 0.3260 0.0000
Tb4 0.4282 0.1153 0.3129
Tb5 0.8023 0.1153 0.6871
Tb6 0.8578 0.3578 0.5000
Tb7 0.9689 0.6312 0.3377
Tm1 0.6667 0.6667 0.0000
Tl1 0.1096 0.1190 0.4849
Tl2 0.1096 0.6247 0.9906
Tl3 0.3864 0.8864 0.5000
Tl4 0.6341 0.1190 0.0094
Tl5 0.6341 0.6247 0.5151
```

Calculated values
D(E_F) in states/eV/cell: 15.5
DFT formation energy in eV/f.u.: -1.8
Magnetic moment in μB/f.u.: 0.00